## KHg2Pd2 (PBE)

Data for a relaxed structure of KHg2Pd2.

Cell lengths 8.3372, 8.3372, 3.0849 Å; angles 90.00, 90.00, 90.00 degrees
Last column: nearest neighbours and their distance in Å.
Fractional positions:
1 K 0.0000 0.0000 0.0000  2 K 3.08, 4 Pd 3.30
2 K 0.5000 0.5000 0.0000  2 K 3.08, 4 Pd 3.30
3 Hg 0.1705 0.3295 0.5000  6 Pd 2.88-2.92, 2 Hg 3.08
4 Hg 0.3295 0.8295 0.5000  6 Pd 2.88-2.92, 2 Hg 3.08
5 Hg 0.6705 0.1705 0.5000  6 Pd 2.88-2.92, 2 Hg 3.08
6 Hg 0.8295 0.6705 0.5000  6 Pd 2.88-2.92, 2 Hg 3.08
7 Pd 0.1234 0.6234 0.0000  6 Hg 2.88-2.92, 3 Pd 2.91-3.08
8 Pd 0.3766 0.1234 0.0000  6 Hg 2.88-2.92, 3 Pd 2.91-3.08
9 Pd 0.6234 0.8766 0.0000  6 Hg 2.88-2.92, 3 Pd 2.91-3.08
10 Pd 0.8766 0.3766 0.0000  6 Hg 2.88-2.92, 3 Pd 2.91-3.08

Offset from the most stable computed form (eV/atom): 0.0000
Theoretical density (g cm⁻³): 10.115
Space group: No. 127

## PrReW (PBE)

Data for a relaxed structure of PrReW.

Cell lengths 4.5726, 4.5726, 4.5726 Å; angles 60.00, 60.00, 60.00 degrees
Last column: nearest neighbours and their distance in Å.
Fractional positions:
1 Pr 0.0000 0.0000 0.0000  4 W 2.80
2 Re 0.5000 0.5000 0.5000  4 W 2.80
3 W 0.2500 0.2500 0.2500  4 Re 2.80, 4 Pr 2.80

Energy of formation (meV/atom): 1026
Size of the total moment (μB/cell): 0.0
Theoretical density (g cm⁻³): 12.550
Space group: No. 216

- What is the theoretical density in the first record?
  10.115 g cm⁻³

- Among the records above, which one has the lowest theoretical density?
  KHg2Pd2